MgH8Cl2O4 (PBEsol, optimized geometry); VASP energy = -4.795 eV per atom; M_tot = 0.00 Bohr magnetons per cell; space group = Pbcn (60)
1.0
7.3468 0.0000 0.0000
0.0000 8.2613 0.0000
0.0000 0.0000 10.7608
Mg H Cl O
4 32 8 16
direct
0.0000 0.1223 0.2500 Mg
0.0000 0.8777 0.7500 Mg
0.5000 0.3777 0.7500 Mg
0.5000 0.6223 0.2500 Mg
0.0748 0.4424 0.1970 H
0.0748 0.5576 0.6970 H
0.0773 0.1983 0.6990 H
0.0773 0.8017 0.1990 H
0.1932 0.2189 0.4501 H
0.1932 0.7811 0.9501 H
0.2060 0.0294 0.4484 H
0.2060 0.9706 0.9484 H
0.2940 0.4706 0.9484 H
0.2940 0.5294 0.4484 H
0.3068 0.2811 0.9501 H
0.3068 0.7189 0.4501 H
0.4227 0.3017 0.1990 H
0.4227 0.6983 0.6990 H
0.4252 0.0576 0.6970 H
0.4252 0.9424 0.1970 H
0.5748 0.0576 0.8030 H
0.5748 0.9424 0.3030 H
0.5773 0.3017 0.3010 H
0.5773 0.6983 0.8010 H
0.6932 0.2811 0.5499 H
0.6932 0.7189 0.0499 H
0.7060 0.4706 0.5516 H
0.7060 0.5294 0.0516 H
0.7940 0.0294 0.0516 H
0.7940 0.9706 0.5516 H
0.8068 0.2189 0.0499 H
0.8068 0.7811 0.5499 H
0.9227 0.1983 0.8010 H
0.9227 0.8017 0.3010 H
0.9252 0.4424 0.3030 H
0.9252 0.5576 0.8030 H
0.2273 0.3791 0.6009 Cl
0.2273 0.6209 0.1009 Cl
0.2727 0.1209 0.1009 Cl
0.2727 0.8791 0.6009 Cl
0.7273 0.1209 0.3991 Cl
0.7273 0.8791 0.8991 Cl
0.7727 0.3791 0.8991 Cl
0.7727 0.6209 0.3991 Cl
0.0000 0.1256 0.7500 O
0.0000 0.3698 0.2500 O
0.0000 0.6302 0.7500 O
0.0000 0.8744 0.2500 O
0.1788 0.1238 0.3947 O
0.1788 0.8762 0.8947 O
0.3212 0.3762 0.8947 O
0.3212 0.6238 0.3947 O
0.5000 0.1302 0.7500 O
0.5000 0.3744 0.2500 O
0.5000 0.6256 0.7500 O
0.5000 0.8698 0.2500 O
0.6788 0.3762 0.6053 O
0.6788 0.6238 0.1053 O
0.8212 0.1238 0.1053 O
0.8212 0.8762 0.6053 O